[1]
Entry from the Alexandria database: a relaxed structure of Tb3PuTl4Te8 (PBE-GGA).

The calculation puts the total moment at 5.0 μB per formula unit. The value obtained for the total energy is -4.91 eV/atom. As for the volume: 35.42 Å³ per atom. The calculation puts the raw formation energy at -0.9848 eV/atom.

It has space group R-3m (No. 166, hexagonal axes), with a = 8.9538 Å, b = 8.9538 Å, c = 24.4883 Å, α = 90.00°, β = 90.00° and γ = 120.00°. Symmetry generates all atoms from Tb at (0.0000, 0.5000, 0.0000), Pu at (0.0000, 0.0000, 0.0000), Tl at (0.0000, 0.0000, 0.5000), Tl at (0.0000, 0.5000, 0.5000), Te at (0.0000, 0.0000, 0.2618) and Te at (0.0030, 0.5015, 0.2618).



[2]
Entry from the Alexandria database: a relaxed structure of Tb2TmPu3Te6 (PBE-GGA).

The calculation puts the total moment at 18.0 μB per formula unit. The value obtained for the total energy is -7.50 eV/atom. As for the volume: 29.89 Å³ per atom. The calculation puts the raw formation energy at -1.2065 eV/atom.

It has space group C2/m (No. 12), with a = 19.209 Å, b = 4.364 Å, c = 8.828 Å, α = 90.00°, β = 104.21° and γ = 90.00°. Symmetry generates all atoms from Tb at (0.167, 0.000, 0.335), Tm at (0.000, 0.500, 0.000), Pu at (0.000, 0.500, 0.500), Pu at (0.168, 0.000, 0.834), Te at (0.001, 0.000, 0.243), Te at (0.164, 0.500, 0.085) and Te at (0.167, 0.500, 0.582).